[1]
DFT (PBE-GGA) results for crystalline Tb2Ho2Se3S2 at its relaxed geometry.

a b c (Å): 5.5514 5.5514 8.0569
angles (deg): 110.15 110.15 90.00
Last column: nearest neighbours and their distance in Å.
Atoms (fractional coordinates):
S (0.4014, 0.4014, 0.8028)  1 Tb 2.66, 1 S 2.77
S (0.5986, 0.5986, 0.1972)  1 Tb 2.66, 1 S 2.77
Se (0.7500, 0.2500, 0.5000)  4 Tb 2.83
Se (0.2500, 0.7500, 0.5000)  4 Tb 2.83
Se (0.0000, 0.0000, 0.0000)  4 Ho 2.78, 2 Tb 2.99
Tb (0.2123, 0.2123, 0.4245)  1 S 2.66, 4 Se 2.83
Tb (0.7877, 0.7877, 0.5755)  1 S 2.66, 4 Se 2.83
Ho (0.5000, 0.0000, 0.0000)  2 Se 2.78, 4 S 3.10
Ho (0.0000, 0.5000, 0.0000)  2 Se 2.78, 4 S 3.10

Results
Symmetry   I4/mmm
Energy relative to the elements, uncorrected   -1563 meV per atom

=====

[2]
DFT (PBE-GGA) results for crystalline Ho8Te4Se3S at its relaxed geometry.

a b c (Å): 8.3162 8.4150 8.3147
angles (deg): 119.60 120.01 90.00
Last column: nearest neighbours and their distance in Å.
Atoms (fractional coordinates):
Te (0.5000, 0.0000, 0.0000)  6 Ho 3.22
Te (0.0000, 0.0000, 0.5000)  6 Ho 3.09-3.11
Te (0.0000, 0.0000, 0.0000)  6 Ho 3.09-3.11
Te (0.5000, 0.0000, 0.5000)  6 Ho 3.09-3.11
S (0.0000, 0.5000, 0.0000)  6 Ho 2.70
Se (0.0000, 0.5000, 0.5000)  6 Ho 2.82-2.85
Se (0.5000, 0.5000, 0.5000)  6 Ho 2.82-2.85
Se (0.5000, 0.5000, 0.0000)  6 Ho 2.82-2.85
Ho (0.7716, 0.2910, 0.0194)  1 S 2.70, 2 Se 2.85
Ho (0.2284, 0.7090, 0.4568)  1 S 2.70, 2 Se 2.85
Ho (0.7382, 0.7144, 0.4763)  3 Se 2.82, 3 Te 3.11
Ho (0.7523, 0.7090, 0.9806)  1 S 2.70, 2 Se 2.85
Ho (0.2284, 0.7090, 0.9806)  1 S 2.70, 2 Se 2.85
Ho (0.7716, 0.2910, 0.5432)  1 S 2.70, 2 Se 2.85
Ho (0.2477, 0.2910, 0.0194)  1 S 2.70, 2 Se 2.85
Ho (0.2618, 0.2856, 0.5237)  3 Se 2.82, 3 Te 3.11

Results
Symmetry   R-3m
Energy relative to the elements, uncorrected   -1536 meV per atom

=====

[3]
DFT (PBE-GGA) results for crystalline Ho6TeSe2S3 at its relaxed geometry.

a b c (Å): 3.9913 8.1223 9.0333
angles (deg): 103.99 102.76 90.00
Last column: nearest neighbours and their distance in Å.
Atoms (fractional coordinates):
Ho (0.6606, 0.5979, 0.3212)  3 S 2.74, 3 Se 2.94-2.96
Ho (0.9941, 0.2795, 0.9881)  3 S 2.67-2.71, 1 Se 2.98
Ho (0.3394, 0.4021, 0.6788)  3 S 2.74, 3 Se 2.94-2.96
Ho (0.0059, 0.7205, 0.0119)  3 S 2.67-2.71, 1 Se 2.98
Ho (0.6781, 0.0680, 0.3562)  3 S 2.69-2.75, 2 Se 2.97
Ho (0.3219, 0.9320, 0.6438)  3 S 2.69-2.75, 2 Se 2.97
Se (0.1675, 0.3330, 0.3351)  6 Ho 2.94-2.98
Se (0.8325, 0.6670, 0.6649)  6 Ho 2.94-2.98
S (0.5000, 0.5000, 0.0000)  6 Ho 2.67-2.74
S (0.8355, 0.1699, 0.6710)  6 Ho 2.69-2.75
S (0.1645, 0.8301, 0.3290)  6 Ho 2.69-2.75
Te (0.5000, 0.0000, 0.0000)  6 Ho 3.04-3.05

Results
Symmetry   C2/m
Energy relative to the elements, uncorrected   -1775 meV per atom

=====

[4]
DFT (PBE-GGA) results for crystalline Ho3TeSeS at its relaxed geometry.

a b c (Å): 6.7306 6.7808 7.9735
angles (deg): 64.84 82.25 71.51
Last column: nearest neighbours and their distance in Å.
Atoms (fractional coordinates):
Ho (0.7500, 0.2446, 0.5109)  1 S 2.65, 1 Se 2.76
Ho (0.4989, 0.8351, 0.8568)  2 S 2.68-2.70, 2 Se 2.81-2.82
Ho (0.9989, 0.6920, 0.1432)  2 S 2.68-2.70, 2 Se 2.81-2.82
Ho (0.2500, 0.7554, 0.4891)  1 S 2.65, 1 Se 2.76
Ho (0.5011, 0.1649, 0.1432)  2 S 2.68-2.70, 2 Se 2.81-2.82
Ho (0.0011, 0.3080, 0.8568)  2 S 2.68-2.70, 2 Se 2.81-2.82
Se (0.7500, 0.4361, 0.1277)  5 Ho 2.76-2.82
Se (0.2500, 0.5639, 0.8723)  5 Ho 2.76-2.82
S (0.7500, 0.0606, 0.8787)  5 Ho 2.65-2.70
S (0.2500, 0.9394, 0.1213)  5 Ho 2.65-2.70
Te (0.7500, 0.7487, 0.5026)  8 Ho 3.23-3.39
Te (0.2500, 0.2513, 0.4974)  8 Ho 3.23-3.39

Results
Symmetry   C2/c
Energy relative to the elements, uncorrected   -1469 meV per atom

=====

[5]
DFT (PBE-GGA) results for crystalline Ho6Te3Se2S at its relaxed geometry.

a b c (Å): 7.1836 7.1836 7.3123
angles (deg): 99.38 99.38 120.11
Last column: nearest neighbours and their distance in Å.
Atoms (fractional coordinates):
Te (0.8278, 0.1722, 0.5000)  6 Ho 3.08-3.20
Te (0.5000, 0.5000, 0.5000)  6 Ho 3.08-3.21
Te (0.1722, 0.8278, 0.5000)  6 Ho 3.08-3.20
Se (0.3342, 0.6658, 0.0000)  6 Ho 2.86-2.87
Se (0.6658, 0.3342, 0.0000)  6 Ho 2.86-2.87
Ho (0.3824, 0.0690, 0.2084)  1 S 2.67, 2 Se 2.86-2.87
Ho (0.6176, 0.9310, 0.7916)  1 S 2.67, 2 Se 2.86-2.87
Ho (0.9310, 0.6176, 0.7916)  1 S 2.67, 2 Se 2.86-2.87
Ho (0.7583, 0.7583, 0.2140)  1 S 2.69, 2 Se 2.87
Ho (0.0690, 0.3824, 0.2084)  1 S 2.67, 2 Se 2.86-2.87
Ho (0.2417, 0.2417, 0.7860)  1 S 2.69, 2 Se 2.87
S (0.0000, 0.0000, 0.0000)  6 Ho 2.67-2.69

Results
Symmetry   C2/m
Energy relative to the elements, uncorrected   -1551 meV per atom

=====

[6]
DFT (PBE-GGA) results for crystalline Ho6Te3SeS2 at its relaxed geometry.

a b c (Å): 7.1114 7.1114 7.2938
angles (deg): 99.33 99.33 120.08
Last column: nearest neighbours and their distance in Å.
Atoms (fractional coordinates):
Ho (0.2791, 0.2791, 0.7969)  2 S 2.72, 1 Se 2.83
Ho (0.4155, 0.0688, 0.2063)  2 S 2.72, 1 Se 2.85
Ho (0.5845, 0.9312, 0.7937)  2 S 2.72, 1 Se 2.85
Ho (0.0688, 0.4155, 0.2063)  2 S 2.72, 1 Se 2.85
Ho (0.7209, 0.7209, 0.2031)  2 S 2.72, 1 Se 2.83
Ho (0.9312, 0.5845, 0.7937)  2 S 2.72, 1 Se 2.85
S (0.3328, 0.6672, 0.0000)  6 Ho 2.72
S (0.6672, 0.3328, 0.0000)  6 Ho 2.72
Te (0.1628, 0.8372, 0.5000)  6 Ho 3.08-3.16
Te (0.8372, 0.1628, 0.5000)  6 Ho 3.08-3.16
Te (0.5000, 0.5000, 0.5000)  6 Ho 3.06-3.16
Se (0.0000, 0.0000, 0.0000)  6 Ho 2.83-2.85

Results
Symmetry   C2/m
Energy relative to the elements, uncorrected   -1590 meV per atom

=====

| no. | electronic total energy (eV for the cell shown) | magnetization (μB/cell) |
| --- | --- | --- |
| 1 | -51.190 | 0.000 |
| 2 | -88.348 | 0.000 |
| 3 | -71.255 | 0.000 |
| 4 | -66.599 | 0.000 |
| 5 | -66.602 | 0.000 |
| 6 | -67.716 | 0.000 |